Here is a geometry-optimized La2AgCl structure from Alexandria. Energies are from PBE.

Values from the calculation:
Fermi-level density of states (states/eV per atom): 1.38
Space-group type: I-42d

Lattice parameters (Å, degrees): 6.0861 6.0861 8.9280 70.07 70.07 90.00
Fractional positions:
La 0.6028 0.1250 0.2500
La 0.1472 0.6250 0.2500
Ag 0.0000 0.0000 0.0000
Cl 0.5000 0.5000 0.0000
La 0.8750 0.8528 0.7500
Cl 0.2500 0.7500 0.5000
Ag 0.7500 0.2500 0.5000
La 0.3750 0.3972 0.7500

---

Here is a geometry-optimized LaAg2Cl structure from Alexandria. Energies are from PBE.

Values from the calculation:
Fermi-level density of states (states/eV per atom): 0.55
Space-group type: Pmmm

Lattice parameters (Å, degrees): 4.0563 4.1277 5.6306 90.00 90.00 90.00
Fractional positions:
La 0.0000 0.5000 0.5000
Cl 0.5000 0.0000 0.5000
Ag 0.5000 0.5000 0.0000
Ag 0.0000 0.0000 0.0000

---

Here is a geometry-optimized LaAgCl3 structure from Alexandria. Energies are from PBE.

Values from the calculation:
Fermi-level density of states (states/eV per atom): 0.37
Space-group type: Pm-3m

Lattice parameters (Å, degrees): 5.5702 5.5702 5.5702 90.00 90.00 90.00
Each line ends with the local moment (μB).
Fractional positions:
Ag 0.5000 0.5000 0.5000  -0.24
Cl 0.0000 0.0000 0.5000  -0.02
Cl 0.0000 0.5000 0.0000  -0.03
La 0.0000 0.0000 0.0000  -0.01
Cl 0.5000 0.0000 0.0000  -0.02

---

Here is a geometry-optimized La2AgCl structure from Alexandria. Energies are from PBE.

Values from the calculation:
Fermi-level density of states (states/eV per atom): 1.23
Space-group type: P4/mmm

Lattice parameters (Å, degrees): 3.5539 3.5539 8.3417 90.00 90.00 90.06
Fractional positions:
Cl 0.5000 0.5000 0.7500
La 0.0000 0.0000 0.0047
Ag 0.5000 0.5000 0.2500
La 0.0000 0.0000 0.4953

---

Here is a geometry-optimized La2AgCl structure from Alexandria. Energies are from PBE.

Values from the calculation:
Fermi-level density of states (states/eV per atom): 0.84
Space-group type: P2/m

Lattice parameters (Å, degrees): 3.7856 3.7328 8.3849 89.77 90.00 90.00
Fractional positions:
La 0.0000 0.7521 0.0207
La 0.0000 0.7479 0.4793
Ag 0.5000 0.2500 0.2500
Cl 0.5000 0.7500 0.7500

---

Here is a geometry-optimized LaAgCl3 structure from Alexandria. Energies are from PBE.

Values from the calculation:
Fermi-level density of states (states/eV per atom): 2.42
Space-group type: Pm-3m

Lattice parameters (Å, degrees): 5.1056 5.1056 5.1056 90.00 90.00 90.00
Each line ends with the local moment (μB).
Fractional positions:
La 0.5000 0.5000 0.5000  0.56
Cl 0.5000 0.0000 0.0000  0.00
Ag 0.0000 0.0000 0.0000  0.00
Cl 0.0000 0.5000 0.0000  0.00
Cl 0.0000 0.0000 0.5000  0.00

---

Here is a geometry-optimized La2AgCl structure from Alexandria. Energies are from PBE.

Values from the calculation:
Fermi-level density of states (states/eV per atom): 0.82
Space-group type: Amm2

Lattice parameters (Å, degrees): 6.4147 6.4147 4.8867 89.98 89.98 33.52
Fractional positions:
Cl 0.7469 0.7469 0.8754
La 0.9879 0.9879 0.8745
La 0.2487 0.2487 0.3755
Ag 0.5164 0.5164 0.3745

---

Here is a geometry-optimized La2AgCl structure from Alexandria. Energies are from PBE.

Values from the calculation:
Fermi-level density of states (states/eV per atom): 0.63
Space-group type: Pmm2

Lattice parameters (Å, degrees): 6.2666 4.2949 4.2913 90.00 90.00 90.00
Fractional positions:
La 0.5000 0.3737 0.3751
Ag 0.0000 0.3763 0.3749
Cl 0.5000 0.8742 0.8751
La 0.0000 0.8759 0.8749

---

| no. | relative energy among the computed polymorphs (kJ/mol of formula units) | formation energy from raw total energies (meV per atom) | calculated volume (Å³/atom) |
| --- | --- | --- | --- |
| 1 | 146 | -497 | 36.22 |
| 2 | 3 | -662 | 23.57 |
| 3 | 0 | -1381 | 34.57 |
| 4 | 40 | -770 | 26.34 |
| 5 | 23 | -815 | 29.62 |
| 6 | 215 | -936 | 26.62 |
| 7 | 37 | -778 | 27.76 |
| 8 | 0 | -874 | 28.87 |